Arrangement one

Crystalline Li2MgCu2 at its relaxed geometry. Source: the Alexandria database, functional GGA-PBE.

a b c (Å): 4.3180 5.0906 5.0943
angles (deg): 129.87 115.08 90.00
Closest atoms and distances in Å follow each position.
Fractional positions:
Cu: 0.1993 0.8007 0.3986  4 Li 2.61-2.81, 3 Cu 2.64, 1 Mg 2.66
Cu: 0.8007 0.1993 0.6014  4 Li 2.61-2.81, 3 Cu 2.64, 1 Mg 2.66
Li: 0.4099 0.5903 0.8198  1 Li 2.40, 3 Cu 2.61
Li: 0.5901 0.4097 0.1802  1 Li 2.40, 3 Cu 2.61
Mg: 0.0000 0.0000 0.0000  2 Cu 2.66, 6 Li 2.69

Values from the calculation:
SG ... R-3m

Arrangement two

Crystalline Li2MgCu2 at its relaxed geometry. Source: the Alexandria database, functional GGA-PBE.

a b c (Å): 3.6803 3.6803 6.4685
angles (deg): 73.47 73.47 90.00
Closest atoms and distances in Å follow each position.
Fractional positions:
Li: 0.2500 0.7500 0.5000  4 Cu 2.57, 4 Li 2.60
Li: 0.7500 0.2500 0.5000  4 Cu 2.57, 4 Li 2.60
Mg: 0.0000 0.0000 0.0000  8 Cu 2.85
Cu: 0.5987 0.5987 0.8025  1 Cu 2.34, 4 Li 2.57
Cu: 0.4013 0.4013 0.1975  1 Cu 2.34, 4 Li 2.57

Values from the calculation:
SG ... I4/mmm

The structure with the greatest stability is arrangement one.

Arrangement one

Crystalline Li2MgCu2 at its relaxed geometry. Source: the Alexandria database, functional GGA-PBE.

a b c (Å): 7.0842 7.0842 3.0306
angles (deg): 90.00 90.00 90.00
Closest atoms and distances in Å follow each position.
Fractional positions:
Cu: 0.1256 0.3744 0.0000  1 Cu 2.52, 6 Li 2.57-2.59, 2 Mg 2.80
Cu: 0.3744 0.8744 0.0000  1 Cu 2.52, 6 Li 2.57-2.59, 2 Mg 2.80
Cu: 0.6256 0.1256 0.0000  1 Cu 2.52, 6 Li 2.57-2.59, 2 Mg 2.80
Cu: 0.8744 0.6256 0.0000  1 Cu 2.52, 6 Li 2.57-2.59, 2 Mg 2.80
Li: 0.1673 0.6673 0.5000  6 Cu 2.57-2.59
Li: 0.6673 0.8327 0.5000  6 Cu 2.57-2.59
Li: 0.8327 0.3327 0.5000  6 Cu 2.57-2.59
Li: 0.3327 0.1673 0.5000  6 Cu 2.57-2.59
Mg: 0.0000 0.0000 0.0000  4 Cu 2.80, 2 Mg 3.03, 8 Li 3.04
Mg: 0.5000 0.5000 0.0000  4 Cu 2.80, 2 Mg 3.03, 8 Li 3.04

Values from the calculation:
SG ... P4/mbm

Arrangement two

Crystalline Li2MgCu2 at its relaxed geometry. Source: the Alexandria database, functional GGA-PBE.

a b c (Å): 7.2549 7.2549 2.7689
angles (deg): 90.00 90.00 90.00
Closest atoms and distances in Å follow each position.
Fractional positions:
Cu: 0.1725 0.6725 0.5000  6 Li 2.50-2.58, 2 Cu 2.77
Cu: 0.6725 0.8275 0.5000  6 Li 2.50-2.58, 2 Cu 2.77
Cu: 0.8275 0.3275 0.5000  6 Li 2.50-2.58, 2 Cu 2.77
Cu: 0.3275 0.1725 0.5000  6 Li 2.50-2.58, 2 Cu 2.77
Mg: 0.0000 0.0000 0.0000  2 Mg 2.77, 4 Li 2.87, 8 Cu 3.02
Mg: 0.5000 0.5000 0.0000  2 Mg 2.77, 4 Li 2.87, 8 Cu 3.02
Li: 0.3760 0.8760 0.0000  6 Cu 2.50-2.58, 3 Li 2.54-2.77
Li: 0.6240 0.1240 0.0000  6 Cu 2.50-2.58, 3 Li 2.54-2.77
Li: 0.8760 0.6240 0.0000  6 Cu 2.50-2.58, 3 Li 2.54-2.77
Li: 0.1240 0.3760 0.0000  6 Cu 2.50-2.58, 3 Li 2.54-2.77

Values from the calculation:
SG ... P4/mbm

Arrangement three

Crystalline Li2MgCu2 at its relaxed geometry. Source: the Alexandria database, functional GGA-PBE.

a b c (Å): 7.2562 5.0935 7.7142
angles (deg): 51.57 61.95 44.58
Closest atoms and distances in Å follow each position.
Fractional positions:
Cu: 0.1333 0.6344 0.6467  2 Cu 2.44-2.47, 4 Li 2.63-2.72, 1 Mg 2.66
Cu: 0.5856 0.1344 0.1467  2 Cu 2.44-2.47, 4 Li 2.63-2.72, 1 Mg 2.66
Cu: 0.4144 0.8656 0.8533  2 Cu 2.44-2.47, 4 Li 2.63-2.72, 1 Mg 2.66
Cu: 0.8667 0.3656 0.3533  2 Cu 2.44-2.47, 4 Li 2.63-2.72, 1 Mg 2.66
Mg: 0.3833 0.7500 0.2500  6 Cu 2.66-2.84, 2 Li 2.94
Mg: 0.6167 0.2500 0.7500  6 Cu 2.66-2.84, 2 Li 2.94
Li: 0.1037 0.6670 0.9911  5 Cu 2.63-2.79, 2 Li 2.63-2.89, 1 Mg 2.94
Li: 0.8963 0.3330 0.0089  5 Cu 2.63-2.79, 2 Li 2.63-2.89, 1 Mg 2.94
Li: 0.7618 0.8330 0.5089  5 Cu 2.63-2.79, 2 Li 2.63-2.89, 1 Mg 2.94
Li: 0.2382 0.1670 0.4911  5 Cu 2.63-2.79, 2 Li 2.63-2.89, 1 Mg 2.94

Values from the calculation:
SG ... C2/c

The structure with the greatest stability is arrangement three.

Arrangement one

Crystalline Li3MgCu at its relaxed geometry. Source: the Alexandria database, functional GGA-PBE.

a b c (Å): 4.4352 6.0952 7.6659
angles (deg): 113.43 90.00 90.00
Closest atoms and distances in Å follow each position.
Fractional positions:
Li: 0.7500 0.8633 0.8322  2 Li 2.69, 1 Cu 2.76, 2 Mg 2.89
Li: 0.7500 0.8208 0.2267  3 Cu 2.55-2.72, 3 Li 2.69-2.79, 1 Mg 2.80
Li: 0.2500 0.0311 0.1679  2 Li 2.69, 1 Cu 2.76, 2 Mg 2.89
Li: 0.2500 0.6971 0.4494  1 Cu 2.54, 1 Li 2.79
Li: 0.7500 0.2477 0.5506  1 Cu 2.54, 1 Li 2.79
Li: 0.2500 0.5941 0.7733  3 Cu 2.55-2.72, 3 Li 2.69-2.79, 1 Mg 2.80
Mg: 0.2500 0.1461 0.7950  3 Cu 2.59-2.83, 3 Li 2.80-2.89
Mg: 0.7500 0.3510 0.2049  3 Cu 2.59-2.83, 3 Li 2.80-2.89
Cu: 0.2500 0.5485 0.0899  5 Li 2.54-2.76, 2 Cu 2.55, 3 Mg 2.59-2.83
Cu: 0.7500 0.4586 0.9101  5 Li 2.54-2.76, 2 Cu 2.55, 3 Mg 2.59-2.83

Values from the calculation:
SG ... Ama2

Arrangement two

Crystalline Li3MgCu at its relaxed geometry. Source: the Alexandria database, functional GGA-PBE.

a b c (Å): 4.6533 4.6533 4.6533
angles (deg): 90.00 90.00 90.00
Closest atoms and distances in Å follow each position.
Fractional positions:
Li: 0.0000 0.0000 0.5000  2 Cu 2.33
Li: 0.5000 0.0000 0.0000  2 Cu 2.33
Li: 0.0000 0.5000 0.0000  2 Cu 2.33
Mg: 0.5000 0.5000 0.5000  12 Li 3.29
Cu: 0.0000 0.0000 0.0000  6 Li 2.33

Values from the calculation:
SG ... Pm-3m

Arrangement three

Crystalline Li3MgCu at its relaxed geometry. Source: the Alexandria database, functional GGA-PBE.

a b c (Å): 4.9268 4.9268 4.9268
angles (deg): 90.00 90.00 90.00
Closest atoms and distances in Å follow each position.
Fractional positions:
Cu: 0.5000 0.5000 0.5000  12 Li 3.48
Mg: 0.0000 0.0000 0.0000  6 Li 2.46
Li: 0.5000 0.0000 0.0000  2 Mg 2.46
Li: 0.0000 0.5000 0.0000  2 Mg 2.46
Li: 0.0000 0.0000 0.5000  2 Mg 2.46

Values from the calculation:
SG ... Pm-3m

The structure with the greatest stability is arrangement one.

Arrangement one

Crystalline Li2Mg4Cu at its relaxed geometry. Source: the Alexandria database, functional GGA-PBE.

a b c (Å): 4.7727 4.7727 7.2407
angles (deg): 70.76 70.76 60.00
Closest atoms and distances in Å follow each position.
Fractional positions:
Cu: 0.0000 0.0000 0.0000  2 Mg 2.73, 6 Li 2.93
Mg: 0.1359 0.1359 0.5923  1 Cu 2.73, 6 Mg 2.95-3.02, 1 Li 2.96
Mg: 0.4175 0.4175 0.7476  4 Li 2.69-2.84, 3 Mg 2.95
Mg: 0.8641 0.8641 0.4077  1 Cu 2.73, 6 Mg 2.95-3.02, 1 Li 2.96
Mg: 0.5825 0.5825 0.2524  4 Li 2.69-2.84, 3 Mg 2.95
Li: 0.2835 0.2835 0.1496  5 Mg 2.69-2.96, 3 Cu 2.93
Li: 0.7165 0.7165 0.8504  5 Mg 2.69-2.96, 3 Cu 2.93

Values from the calculation:
SG ... R-3m

Arrangement two

Crystalline Li2Mg4Cu at its relaxed geometry. Source: the Alexandria database, functional GGA-PBE.

a b c (Å): 4.8204 4.8204 8.0533
angles (deg): 72.59 72.59 90.00
Closest atoms and distances in Å follow each position.
Fractional positions:
Mg: 0.5000 0.0000 0.0000  2 Cu 2.41
Mg: 0.0000 0.5000 0.0000  2 Cu 2.41
Mg: 0.8238 0.8238 0.3525  1 Cu 2.57
Mg: 0.1762 0.1762 0.6475  1 Cu 2.57
Li: 0.3769 0.3769 0.2462  5 Mg 2.93-3.01
Li: 0.6231 0.6231 0.7538  5 Mg 2.93-3.01
Cu: 0.0000 0.0000 0.0000  6 Mg 2.41-2.57

Values from the calculation:
SG ... I4/mmm

The structure with the greatest stability is arrangement one.

Arrangement one

Crystalline LiMgCu at its relaxed geometry. Source: the Alexandria database, functional GGA-PBE.

a b c (Å): 2.9212 2.9212 6.7416
angles (deg): 90.00 90.00 120.00
Closest atoms and distances in Å follow each position.
Fractional positions:
Li: 0.6667 0.3333 0.3085  3 Cu 2.65, 6 Li 2.92
Cu: 0.0000 0.0000 0.0059  3 Li 2.65, 3 Mg 2.74, 6 Cu 2.92
Mg: 0.3333 0.6667 0.6856  3 Cu 2.74, 6 Mg 2.92, 3 Li 3.05

Values from the calculation:
SG ... P3m1

Arrangement two

Crystalline LiMgCu at its relaxed geometry. Source: the Alexandria database, functional GGA-PBE.

a b c (Å): 4.3556 4.3556 4.3556
angles (deg): 60.00 60.00 60.00
Closest atoms and distances in Å follow each position.
Fractional positions:
Li: 0.0000 0.0000 0.0000  4 Cu 2.67
Cu: 0.7500 0.7500 0.7500  4 Li 2.67, 4 Mg 2.67
Mg: 0.5000 0.5000 0.5000  4 Cu 2.67

Values from the calculation:
SG ... F-43m

The structure with the greatest stability is arrangement one.

Arrangement one

Crystalline LiMgCu at its relaxed geometry. Source: the Alexandria database, functional GGA-PBE.

a b c (Å): 4.3976 4.3976 2.8239
angles (deg): 90.00 90.00 120.00
Closest atoms and distances in Å follow each position.
Fractional positions:
Mg: 0.6667 0.3333 0.6579  6 Li 2.77-3.07, 6 Cu 2.80-3.03, 2 Mg 2.82
Li: 0.3333 0.6667 0.2697  3 Cu 2.60, 3 Mg 2.77, 2 Li 2.82
Cu: 0.0000 0.0000 0.0724  3 Li 2.60, 3 Mg 2.80, 2 Cu 2.82

Values from the calculation:
SG ... P3m1

Arrangement two

Crystalline LiMgCu at its relaxed geometry. Source: the Alexandria database, functional GGA-PBE.

a b c (Å): 5.2217 5.0894 5.0894
angles (deg): 59.58 59.14 59.14
Closest atoms and distances in Å follow each position.
Fractional positions:
Mg: 0.1202 0.6298 0.6298  6 Cu 2.94-2.99, 6 Li 2.99-3.02, 4 Mg 3.05-3.20
Mg: 0.8798 0.3702 0.3702  6 Cu 2.94-2.99, 6 Li 2.99-3.02, 4 Mg 3.05-3.20
Li: 0.5000 0.5000 0.0000  2 Li 2.53, 4 Cu 2.54
Li: 0.5000 0.0000 0.5000  2 Li 2.53, 4 Cu 2.54
Cu: 0.0000 0.0000 0.0000  4 Li 2.54, 2 Cu 2.61
Cu: 0.5000 0.0000 0.0000  4 Li 2.54, 2 Cu 2.61

Values from the calculation:
SG ... Imma

The structure with the greatest stability is arrangement two.